No. 1
This record from Alexandria via LeMat-Bulk describes a geometry-optimized TaHgTe2 structure. The functional is PBE-GGA.

Properties
space-group type: Cm
formation energy without anion corrections: -10 kJ per mole of atoms
calculated total energy: -0.1732 hartree per atom
calculated volume: 28.6 Å³/atom

Cell: 10.206 10.206 3.387 Å, 90.19 90.19 18.96°
Sites, in units of the cell vectors:
1 Ta 0.000 0.000 0.000
2 Hg 0.238 0.238 0.005
3 Te 0.414 0.414 0.498
4 Te 0.585 0.585 0.502

***

No. 2
This record from Alexandria via LeMat-Bulk describes a geometry-optimized CeSmI4 structure. The functional is PBE-GGA.

Properties
space-group type: C2/c
formation energy without anion corrections: -110 kJ per mole of atoms
calculated total energy: -0.1449 hartree per atom
calculated volume: 36.8 Å³/atom

Cell: 8.867 8.867 7.653 Å, 110.91 110.91 110.24°
Sites, in units of the cell vectors:
1 Ce 0.007 0.993 0.750
2 Ce 0.993 0.007 0.250
3 Sm 0.368 0.632 0.750
4 Sm 0.632 0.368 0.250
5 I 0.054 0.686 0.404
6 I 0.253 0.374 0.246
7 I 0.314 0.946 0.096
8 I 0.374 0.253 0.746
9 I 0.626 0.747 0.254
10 I 0.686 0.054 0.904
11 I 0.747 0.626 0.754
12 I 0.946 0.314 0.596

***

No. 3
This record from Alexandria via LeMat-Bulk describes a geometry-optimized SrNbP2Cl structure. The functional is PBE-GGA.

Properties
space-group type: P4/mmm
formation energy without anion corrections: 117 kJ per mole of atoms
calculated total energy: -0.1351 hartree per atom
calculated volume: 29.3 Å³/atom

Cell: 5.367 5.367 5.092 Å, 90.00 90.00 90.00°
Sites, in units of the cell vectors:
1 Sr 0.000 0.000 0.000
2 Nb 0.500 0.500 0.500
3 P 0.000 0.500 0.000
4 P 0.500 0.000 0.000
5 Cl 0.000 0.000 0.500

***

No. 4
This record from Alexandria via LeMat-Bulk describes a geometry-optimized La2PuOs structure. The functional is PBE-GGA.

Properties
space-group type: R-3m
ΔE_f: 0.3934 eV per atom
calculated total energy: -0.3109 hartree per atom
calculated volume: 35.9 Å³/atom

Cell: 10.760 10.760 10.760 Å, 21.28 21.28 21.28°
Sites, in units of the cell vectors:
1 La 0.115 0.115 0.115
2 La 0.885 0.885 0.885
3 Pu 0.000 0.000 0.000
4 Os 0.500 0.500 0.500